a:
## ErCd2Sn (GGA-PBE)

Data for a relaxed ErCd2Sn crystal.

POSCAR file:
```
ErCd2Sn
1.0
3.3269 0.0000 0.0000
1.6634 2.8811 0.0000
1.6634 0.9604 11.4911
Cd Sn Er
2 1 1
direct
0.9102 0.9102 0.2695
0.0898 0.0898 0.7305
0.5000 0.5000 0.5000
0.0000 0.0000 0.0000
```

Calculated values
M_tot in μB per cell: 0.0
Crystal system: trigonal



b:
## ErCd2Sn (GGA-PBE)

Data for a relaxed ErCd2Sn crystal.

POSCAR file:
```
ErCd2Sn
1.0
-1.2147 -2.7316 1.9309
2.3592 -2.1559 -1.5657
5.3258 1.6745 5.7192
Sn Er Cd
1 1 2
direct
0.5000 0.5000 0.0000
0.5000 0.5000 0.5000
0.0000 0.0000 0.7521
0.0000 0.0000 0.2479
```

Calculated values
M_tot in μB per cell: 0.2
Crystal system: tetragonal



c:
## ErCd2Sn (GGA-PBE)

Data for a relaxed ErCd2Sn crystal.

POSCAR file:
```
ErCd2Sn
1.0
4.8269 0.0000 0.0000
0.0000 4.4384 0.0000
0.0000 0.0000 4.4384
Er Cd Sn
1 2 1
direct
0.5000 0.0000 0.0000
0.0000 0.0000 0.5000
0.0000 0.5000 0.0000
0.5000 0.5000 0.5000
```

Calculated values
M_tot in μB per cell: 0.0
Crystal system: tetragonal



Short version: a is the least stable of them.



a:
## Er2CdSn4 (GGA-PBE)

Data for a relaxed Er2CdSn4 crystal.

POSCAR file:
```
Er2CdSn4
1.0
-2.6035 2.0849 2.9201
-3.5483 -2.0314 -1.7133
1.1468 -7.2031 6.1653
Er Sn Cd
2 4 1
direct
0.5000 0.0000 0.7576
0.0000 0.5000 0.2424
0.5000 0.0000 0.1946
0.0000 0.0000 0.5000
0.5000 0.5000 0.5000
0.0000 0.5000 0.8054
0.5000 0.5000 0.0000
```

Calculated values
M_tot in μB per cell: 0.0
Crystal system: tetragonal



b:
## Er2CdSn4 (GGA-PBE)

Data for a relaxed Er2CdSn4 crystal.

POSCAR file:
```
Er2CdSn4
1.0
4.5602 0.0000 0.0000
0.0000 6.3298 -1.1502
0.0000 0.8895 6.3717
Sn Er Cd
4 2 1
direct
0.0000 0.7577 0.7577
0.5000 0.5000 0.0000
0.5000 0.0000 0.5000
0.0000 0.2423 0.2423
0.0000 0.2468 0.7532
0.0000 0.7532 0.2468
0.5000 0.5000 0.5000
```

Calculated values
M_tot in μB per cell: 0.0
Crystal system: orthorhombic



Short version: a is the least stable of them.



a:
## SrErCd4 (GGA-PBE)

Data for a relaxed SrErCd4 crystal.

POSCAR file:
```
SrErCd4
1.0
-2.2607 1.9014 1.9907
2.4974 -1.4006 4.1750
5.2171 7.0095 -0.7695
Cd Er Sr
4 1 1
direct
0.4985 0.9973 0.8381
0.4986 0.9973 0.1582
0.4986 0.4973 0.3227
0.4986 0.4973 0.6736
0.9986 0.4972 0.9981
0.9987 0.9972 0.4981
```

Calculated values
M_tot in μB per cell: 0.0
Crystal system: orthorhombic



b:
## SrErCd4 (GGA-PBE)

Data for a relaxed SrErCd4 crystal.

POSCAR file:
```
SrErCd4
1.0
-3.8607 -1.7941 -4.2737
-4.0617 -4.2917 1.2135
-5.8477 1.4167 0.4306
Er Cd Sr
1 4 1
direct
0.0000 0.0000 0.0000
0.6256 0.6256 0.6256
0.6256 0.1232 0.6256
0.1232 0.6256 0.6256
0.6256 0.6256 0.1232
0.2500 0.2500 0.2500
```

Calculated values
M_tot in μB per cell: 0.0
Crystal system: cubic



Short version: b is the least stable of them.



a:
## SrErCd (GGA-PBE)

Data for a relaxed SrErCd crystal.

POSCAR file:
```
SrErCd
1.0
-0.1589 0.7164 3.9155
-2.9555 -4.4984 0.7032
5.4163 -0.2422 0.2641
Er Sr Cd
1 1 1
direct
0.1571 0.0000 0.0000
0.6622 0.6667 0.3333
0.1807 0.3333 0.6667
```

Calculated values
M_tot in μB per cell: 0.0
Crystal system: trigonal



b:
## SrErCd (GGA-PBE)

Data for a relaxed SrErCd crystal.

POSCAR file:
```
SrErCd
1.0
-1.2341 0.5413 3.6091
-0.3729 -3.8086 0.4437
7.1678 1.2705 0.2044
Cd Er Sr
1 1 1
direct
0.6838 0.6838 0.3676
0.2998 0.2998 0.5996
0.0164 0.0164 0.0328
```

Calculated values
M_tot in μB per cell: 0.0
Crystal system: tetragonal



Short version: a is the least stable of them.



a:
## Tb6Er3Cd (GGA-PBE)

Data for a relaxed Tb6Er3Cd crystal.

POSCAR file:
```
Tb6Er3Cd
1.0
-2.8567 -3.8452 1.3919
4.2397 0.5049 10.0963
-8.1490 7.0689 2.8038
Er Tb Cd
6 12 2
direct
0.2500 0.3477 0.7934
0.2500 0.7519 0.0069
0.2500 0.5511 0.4008
0.7500 0.6523 0.2066
0.7500 0.2481 0.9931
0.7500 0.4489 0.5992
0.7500 0.7612 0.5047
0.7500 0.3468 0.2988
0.7500 0.1410 0.6868
0.2500 0.8590 0.3132
0.7500 0.9528 0.1031
0.2500 0.2388 0.4953
0.2500 0.1524 0.1927
0.7500 0.8476 0.8073
0.2500 0.4490 0.1022
0.2500 0.6532 0.7012
0.7500 0.5510 0.8978
0.2500 0.0472 0.8969
0.2500 0.9492 0.6043
0.7500 0.0508 0.3957
```

Calculated values
M_tot in μB per cell: 0.0
Crystal system: monoclinic



b:
## Tb6Er3Cd (GGA-PBE)

Data for a relaxed Tb6Er3Cd crystal.

POSCAR file:
```
Tb6Er3Cd
1.0
-3.3439 6.2199 6.0010
-5.6198 -6.0074 3.0949
7.9431 0.7041 3.6963
Tb Er Cd
12 6 2
direct
0.6360 0.2773 0.7227
0.6120 0.0808 0.2925
0.1360 0.7227 0.2773
0.7971 0.5087 0.1158
0.2971 0.1158 0.5087
0.2893 0.9371 0.0629
0.1120 0.2925 0.0808
0.6120 0.7075 0.9192
0.1120 0.9192 0.7075
0.2971 0.4913 0.8842
0.7971 0.8842 0.4913
0.7893 0.0629 0.9371
0.9789 0.6974 0.9068
0.8000 0.4971 0.5029
0.3000 0.5029 0.4971
0.9789 0.0932 0.3026
0.4789 0.9068 0.6974
0.4789 0.3026 0.0932
0.9841 0.2759 0.7241
0.4841 0.7241 0.2759
```

Calculated values
M_tot in μB per cell: 0.0
Crystal system: orthorhombic



Short version: b is the least stable of them.



a:
## Tb6ErCd (GGA-PBE)

Data for a relaxed Tb6ErCd crystal.

POSCAR file:
```
Tb6ErCd
1.0
9.2431 0.0022 0.1877
4.6290 7.2146 -0.1636
4.5488 2.2600 3.7338
Tb Er Cd
6 1 1
direct
0.5504 0.2419 0.1676
0.0401 0.4498 0.7520
0.7581 0.9600 0.7314
0.9599 0.5502 0.2480
0.4496 0.7581 0.8324
0.2419 0.0400 0.2686
0.5000 0.5000 0.5000
0.0000 0.0000 0.0000
```

Calculated values
M_tot in μB per cell: 0.0
Crystal system: trigonal



b:
## Tb6ErCd (GGA-PBE)

Data for a relaxed Tb6ErCd crystal.

POSCAR file:
```
Tb6ErCd
1.0
-4.5461 0.5760 -1.7636
-1.4856 -3.9258 2.5475
-2.2671 5.9006 7.7710
Tb Cd Er
6 1 1
direct
0.0000 0.5000 0.2544
0.5000 0.5000 0.0000
0.5000 0.0000 0.7456
0.5000 0.0000 0.2544
0.0000 0.5000 0.7456
0.5000 0.5000 0.5000
0.0000 0.0000 0.5000
0.0000 0.0000 0.0000
```

Calculated values
M_tot in μB per cell: 0.0
Crystal system: tetragonal



Short version: a is the least stable of them.



a:
## Tb2ErCd4 (GGA-PBE)

Data for a relaxed Tb2ErCd4 crystal.

POSCAR file:
```
Tb2ErCd4
1.0
5.0625 0.0000 -1.6138
-0.5144 5.0363 -1.6138
-0.2845 -0.3151 7.8550
Tb Cd Er
2 4 1
direct
0.2584 0.2584 0.5168
0.7416 0.7416 0.4832
0.8866 0.3866 0.7733
0.3866 0.8866 0.7733
0.6134 0.1134 0.2267
0.1134 0.6134 0.2267
0.0000 0.0000 0.0000
```

Calculated values
M_tot in μB per cell: 0.2
Crystal system: tetragonal



b:
## Tb2ErCd4 (GGA-PBE)

Data for a relaxed Tb2ErCd4 crystal.

POSCAR file:
```
Tb2ErCd4
1.0
-5.4175 -1.4267 -1.4603
1.6546 -5.4941 -0.7709
0.6764 2.3129 6.7070
Cd Er Tb
4 1 2
direct
0.0000 0.5000 0.0000
0.7500 0.2500 0.5000
0.5000 0.0000 0.0000
0.2500 0.7500 0.5000
0.0000 0.0000 0.0000
0.6423 0.6423 0.2846
0.3577 0.3577 0.7154
```

Calculated values
M_tot in μB per cell: 0.0
Crystal system: tetragonal



Short version: b is the least stable of them.



a:
## Tb5Er4Cd (GGA-PBE)

Data for a relaxed Tb5Er4Cd crystal.

POSCAR file:
```
Tb5Er4Cd
1.0
3.5469 0.0000 0.0000
0.0000 3.5469 0.0000
0.0000 0.0000 24.0927
Cd Tb Er
1 5 4
direct
0.0000 0.0000 0.0000
0.5000 0.5000 0.9126
0.5000 0.5000 0.0874
0.5000 0.5000 0.7066
0.5000 0.5000 0.5000
0.5000 0.5000 0.2934
0.0000 0.0000 0.8097
0.0000 0.0000 0.1903
0.0000 0.0000 0.6032
0.0000 0.0000 0.3968
```

Calculated values
M_tot in μB per cell: 0.0
Crystal system: tetragonal



b:
## Tb5Er4Cd (GGA-PBE)

Data for a relaxed Tb5Er4Cd crystal.

POSCAR file:
```
Tb5Er4Cd
1.0
5.7326 0.0000 0.0000
2.8663 7.4413 0.0000
2.8663 0.0000 7.4413
Er Tb Cd
4 5 1
direct
0.4638 0.6784 0.3218
0.4640 0.3216 0.6782
0.7856 0.6782 0.6784
0.1422 0.3218 0.3216
0.7669 0.3706 0.0002
0.7671 0.9998 0.3706
0.1377 0.6294 0.9998
0.1375 0.0002 0.6294
0.6621 0.0000 0.0000
0.1836 0.0000 0.0000
```

Calculated values
M_tot in μB per cell: 0.0
Crystal system: tetragonal



Short version: b is the least stable of them.



a:
## Tb6ErCd2 (GGA-PBE)

Data for a relaxed Tb6ErCd2 crystal.

POSCAR file:
```
Tb6ErCd2
1.0
-0.2658 3.7377 -0.0521
-5.2743 1.5538 3.6089
4.2988 2.3318 10.5881
Tb Cd Er
6 2 1
direct
0.3119 0.7909 0.5853
0.0163 0.3059 0.6614
0.3149 0.4928 0.8773
0.9837 0.6941 0.3386
0.6881 0.2091 0.4147
0.6851 0.5072 0.1227
0.3554 0.0844 0.2047
0.6446 0.9156 0.7953
0.0000 0.0000 0.0000
```

Calculated values
M_tot in μB per cell: 0.0
Crystal system: monoclinic



b:
## Tb6ErCd2 (GGA-PBE)

Data for a relaxed Tb6ErCd2 crystal.

POSCAR file:
```
Tb6ErCd2
1.0
6.1031 -0.3131 -0.3032
1.2240 9.3907 1.1639
1.2240 1.4676 9.3481
Cd Tb Er
4 12 2
direct
0.0916 0.2139 0.4580
0.9084 0.7861 0.5420
0.4084 0.5420 0.7861
0.5916 0.4580 0.2139
0.5073 0.3164 0.5734
0.9927 0.4266 0.6836
0.3149 0.7304 0.0314
0.8385 0.6480 0.9041
0.0073 0.5734 0.3164
0.6615 0.0959 0.3520
0.1615 0.3520 0.0959
0.8149 0.0314 0.7304
0.4927 0.6836 0.4266
0.6851 0.2696 0.9686
0.3385 0.9041 0.6480
0.1851 0.9686 0.2696
0.2500 0.0994 0.9006
0.7500 0.9006 0.0994
```

Calculated values
M_tot in μB per cell: 0.0
Crystal system: monoclinic



Short version: b is the least stable of them.



a:
## Tb4Er5Cd (GGA-PBE)

Data for a relaxed Tb4Er5Cd crystal.

POSCAR file:
```
Tb4Er5Cd
1.0
-4.4494 1.9627 -2.9237
-6.8087 -1.3133 3.9740
-1.5268 7.6057 1.9230
Tb Er Cd
4 5 1
direct
0.4626 0.6799 0.3200
0.7826 0.6800 0.6799
0.4625 0.3201 0.6800
0.1425 0.3200 0.3201
0.7702 0.0002 0.3691
0.1394 0.9998 0.6309
0.6612 0.0000 0.0000
0.1392 0.6309 0.0002
0.7704 0.3691 0.9998
0.1797 0.0000 0.0000
```

Calculated values
M_tot in μB per cell: 0.0
Crystal system: tetragonal



b:
## Tb4Er5Cd (GGA-PBE)

Data for a relaxed Tb4Er5Cd crystal.

POSCAR file:
```
Tb4Er5Cd
1.0
-0.7396 1.7278 -4.5030
-1.0753 -3.1829 -1.0446
-16.4089 4.1378 4.2828
Tb Er Cd
4 5 1
direct
0.0000 0.0000 0.6021
0.0000 0.0000 0.3979
0.0000 0.0000 0.8039
0.0000 0.0000 0.1961
0.5000 0.5000 0.7063
0.5000 0.5000 0.5000
0.5000 0.5000 0.9075
0.5000 0.5000 0.2937
0.5000 0.5000 0.0925
0.0000 0.0000 0.0000
```

Calculated values
M_tot in μB per cell: 0.0
Crystal system: orthorhombic



Short version: a is the least stable of them.



a:
## TbErTmCd (GGA-PBE)

Data for a relaxed TbErTmCd crystal.

POSCAR file:
```
TbErTmCd
1.0
5.4065 0.0000 0.0000
2.7033 4.6822 0.0000
2.7033 1.5607 4.4144
Tm Er Cd Tb
1 1 1 1
direct
0.2500 0.2500 0.2500
0.5000 0.5000 0.5000
0.7500 0.7500 0.7500
0.0000 0.0000 0.0000
```

Calculated values
M_tot in μB per cell: 0.0
Crystal system: cubic



b:
## TbErTmCd (GGA-PBE)

Data for a relaxed TbErTmCd crystal.

POSCAR file:
```
TbErTmCd
1.0
3.5537 0.0000 0.0000
0.0000 3.5537 0.0000
0.0000 0.0000 9.0312
Er Tb Cd Tm
1 1 1 1
direct
0.5000 0.5000 0.3412
0.5000 0.5000 0.8024
0.0000 0.0000 0.5678
0.0000 0.0000 0.0734
```

Calculated values
M_tot in μB per cell: 0.0
Crystal system: tetragonal



Short version: a is the least stable of them.



a:
## TbYErCd (GGA-PBE)

Data for a relaxed TbYErCd crystal.

POSCAR file:
```
TbYErCd
1.0
5.4402 0.0000 0.0000
2.7201 4.7113 0.0000
2.7201 1.5704 4.4419
Er Cd Tb Y
1 1 1 1
direct
0.5000 0.5000 0.5000
0.0000 0.0000 0.0000
0.2500 0.2500 0.2500
0.7500 0.7500 0.7500
```

Calculated values
M_tot in μB per cell: 0.0
Crystal system: cubic



b:
## TbYErCd (GGA-PBE)

Data for a relaxed TbYErCd crystal.

POSCAR file:
```
TbYErCd
1.0
-2.1760 -1.9807 -2.0408
-1.6320 -1.2348 2.9385
-5.8792 6.8551 -0.3844
Tb Cd Y Er
1 1 1 1
direct
0.0000 0.0000 0.0743
0.0000 0.0000 0.5682
0.5000 0.5000 0.7972
0.5000 0.5000 0.3450
```

Calculated values
M_tot in μB per cell: 0.0
Crystal system: tetragonal



Short version: a is the least stable of them.